[1]
{
  "formula": "TbPmNdSm3",
  "functional": "PBE",
  "state": "relaxed",
  "ef_ev_per_atom": 0.015,
  "dft_energy_ev_per_atom": -4.703,
  "magmom_total_mub_per_atom": 0.0000,
  "lattice": [[5.129, -0.005, 0.000], [-2.572, 7.710, 0.000], [0.000, 0.000, 10.260]],
  "species": ["Tb", "Tb", "Sm", "Sm", "Sm", "Sm", "Sm", "Sm", "Nd", "Nd", "Pm", "Pm"],
  "frac_coords": [[0.833, 0.666, 0.750], [0.167, 0.334, 0.250], [0.667, 0.335, 0.500], [0.832, 0.665, 0.250], [0.667, 0.335, 0.000], [0.333, 0.665, 0.500], [0.333, 0.665, 0.000], [0.168, 0.335, 0.750], [0.000, 0.000, 0.500], [0.000, 0.000, 0.000], [0.500, 0.999, 0.750], [0.500, 0.001, 0.250]]
}

[2]
{
  "formula": "Tb6Pm3Nd2Sm",
  "functional": "PBE",
  "state": "relaxed",
  "ef_ev_per_atom": 0.012,
  "dft_energy_ev_per_atom": -4.679,
  "magmom_total_mub_per_atom": 0.0000,
  "lattice": [[-5.091, -1.088, -3.476], [2.785, -4.715, 3.032], [-6.035, 3.919, 9.489]],
  "species": ["Tb", "Tb", "Tb", "Tb", "Tb", "Tb", "Pm", "Pm", "Pm", "Nd", "Nd", "Sm"],
  "frac_coords": [[0.583, 0.917, 0.750], [0.417, 0.083, 0.250], [0.750, 0.750, 0.250], [0.083, 0.417, 0.250], [0.917, 0.583, 0.750], [0.250, 0.250, 0.750], [0.833, 0.167, 0.500], [0.167, 0.833, 0.500], [0.500, 0.500, 0.500], [0.667, 0.333, 0.000], [0.333, 0.667, 0.000], [0.000, 0.000, 0.000]]
}

[3]
{
  "formula": "TbPm3NdSm",
  "functional": "PBE",
  "state": "relaxed",
  "ef_ev_per_atom": 0.014,
  "dft_energy_ev_per_atom": -4.714,
  "magmom_total_mub_per_atom": 0.0000,
  "lattice": [[-0.755, -4.150, -2.926], [8.008, 0.896, 1.168], [-0.577, -5.846, 8.441]],
  "species": ["Tb", "Tb", "Pm", "Pm", "Pm", "Pm", "Pm", "Pm", "Nd", "Nd", "Sm", "Sm"],
  "frac_coords": [[0.833, 0.666, 0.750], [0.167, 0.334, 0.250], [0.168, 0.335, 0.750], [0.667, 0.333, 0.000], [0.333, 0.667, 0.000], [0.333, 0.667, 0.500], [0.667, 0.333, 0.500], [0.832, 0.665, 0.250], [0.501, 0.002, 0.250], [0.499, 0.998, 0.750], [0.000, 0.000, 0.000], [0.000, 0.000, 0.500]]
}

[4]
{
  "formula": "TbPm3Nd6Sm2",
  "functional": "PBE",
  "state": "relaxed",
  "ef_ev_per_atom": 0.012,
  "dft_energy_ev_per_atom": -4.732,
  "magmom_total_mub_per_atom": 0.0000,
  "lattice": [[6.338, -0.001, 0.004], [-3.168, 5.489, 0.004], [-1.067, -1.848, 11.912]],
  "species": ["Nd", "Nd", "Nd", "Nd", "Nd", "Nd", "Tb", "Pm", "Pm", "Pm", "Sm", "Sm"],
  "frac_coords": [[0.416, 0.083, 0.249], [0.750, 0.750, 0.249], [0.250, 0.250, 0.751], [0.584, 0.917, 0.751], [0.917, 0.584, 0.751], [0.083, 0.416, 0.249], [0.000, 0.000, 0.000], [0.500, 0.500, 0.500], [0.833, 0.167, 0.500], [0.167, 0.833, 0.500], [0.333, 0.667, 0.000], [0.667, 0.333, 0.000]]
}

[5]
{
  "formula": "TbPm2NdSm4",
  "functional": "PBE",
  "state": "relaxed",
  "ef_ev_per_atom": 0.390,
  "dft_energy_ev_per_atom": -4.332,
  "magmom_total_mub_per_atom": 0.0002,
  "lattice": [[9.442, 0.004, -1.699], [-0.003, 9.442, -1.699], [-6.026, -6.030, 8.357]],
  "species": ["Nd", "Nd", "Tb", "Tb", "Sm", "Sm", "Sm", "Sm", "Sm", "Sm", "Sm", "Sm", "Pm", "Pm", "Pm", "Pm"],
  "frac_coords": [[0.000, 0.500, 0.000], [0.000, 0.500, 0.500], [0.000, 0.000, 0.000], [0.500, 0.500, 0.500], [0.709, 0.710, 0.957], [0.210, 0.209, 0.457], [0.747, 0.253, 0.498], [0.253, 0.747, 0.502], [0.247, 0.753, 0.002], [0.753, 0.247, 0.998], [0.790, 0.791, 0.543], [0.291, 0.290, 0.043], [0.000, 0.000, 0.500], [0.500, 0.000, 0.000], [0.500, 0.500, 0.000], [0.500, 0.000, 0.500]]
}

[6]
{
  "formula": "TbPmNd3Sm",
  "functional": "PBE",
  "state": "relaxed",
  "ef_ev_per_atom": 0.014,
  "dft_energy_ev_per_atom": -4.720,
  "magmom_total_mub_per_atom": 0.0000,
  "lattice": [[5.148, 0.000, 0.000], [-2.574, 7.750, 0.000], [0.000, 0.000, 10.314]],
  "species": ["Nd", "Nd", "Nd", "Nd", "Nd", "Nd", "Tb", "Tb", "Sm", "Sm", "Pm", "Pm"],
  "frac_coords": [[0.666, 0.332, 0.000], [0.334, 0.668, 0.500], [0.167, 0.334, 0.750], [0.833, 0.666, 0.250], [0.334, 0.668, 0.000], [0.666, 0.332, 0.500], [0.834, 0.667, 0.750], [0.166, 0.333, 0.250], [0.000, 0.000, 0.000], [0.000, 0.000, 0.500], [0.499, 0.998, 0.750], [0.501, 0.002, 0.250]]
}

[7]
{
  "formula": "Tb2PmNd3Sm6",
  "functional": "PBE",
  "state": "relaxed",
  "ef_ev_per_atom": 0.014,
  "dft_energy_ev_per_atom": -4.705,
  "magmom_total_mub_per_atom": 0.0000,
  "lattice": [[-3.801, 2.004, 4.598], [0.719, -6.168, -1.023], [10.131, 1.190, 6.416]],
  "species": ["Sm", "Sm", "Sm", "Sm", "Sm", "Sm", "Nd", "Nd", "Nd", "Tb", "Tb", "Pm"],
  "frac_coords": [[0.749, 0.749, 0.248], [0.583, 0.917, 0.752], [0.083, 0.417, 0.248], [0.917, 0.583, 0.752], [0.417, 0.083, 0.248], [0.251, 0.251, 0.752], [0.833, 0.167, 0.500], [0.167, 0.833, 0.500], [0.500, 0.500, 0.500], [0.667, 0.333, 0.000], [0.333, 0.667, 0.000], [0.000, 0.000, 0.000]]
}

[8]
{
  "formula": "Tb2Pm4NdSm",
  "functional": "PBE",
  "state": "relaxed",
  "ef_ev_per_atom": 0.015,
  "dft_energy_ev_per_atom": -4.703,
  "magmom_total_mub_per_atom": 0.0000,
  "lattice": [[3.634, 0.000, 0.000], [0.000, 6.272, -0.210], [0.000, 2.527, 11.781]],
  "species": ["Pm", "Pm", "Pm", "Pm", "Tb", "Tb", "Nd", "Sm"],
  "frac_coords": [[0.000, 0.250, 0.251], [0.500, 0.751, 0.250], [0.000, 0.750, 0.749], [0.500, 0.249, 0.750], [0.000, 0.000, 0.000], [0.500, 0.000, 0.500], [0.500, 0.500, 0.000], [0.000, 0.500, 0.500]]
}

[9]
{
  "formula": "TbPm2Nd2Sm2",
  "functional": "PBE",
  "state": "relaxed",
  "ef_ev_per_atom": 0.013,
  "dft_energy_ev_per_atom": -4.716,
  "magmom_total_mub_per_atom": 0.0000,
  "lattice": [[5.145, 0.000, 0.000], [-2.573, 5.748, 0.287], [0.000, -1.545, 8.002]],
  "species": ["Sm", "Sm", "Nd", "Nd", "Tb", "Pm", "Pm"],
  "frac_coords": [[0.571, 0.142, 0.716], [0.429, 0.858, 0.284], [0.143, 0.286, 0.427], [0.857, 0.714, 0.573], [0.000, 0.000, 0.000], [0.286, 0.571, 0.859], [0.714, 0.429, 0.141]]
}

[10]
{
  "formula": "Tb2PmNd2Sm",
  "functional": "PBE",
  "state": "relaxed",
  "ef_ev_per_atom": 0.255,
  "dft_energy_ev_per_atom": -4.456,
  "magmom_total_mub_per_atom": 0.0000,
  "lattice": [[-0.956, -3.131, 1.012], [3.443, -2.679, -5.038], [14.711, -1.058, 10.618]],
  "species": ["Nd", "Nd", "Nd", "Nd", "Tb", "Tb", "Tb", "Tb", "Pm", "Pm", "Sm", "Sm"],
  "frac_coords": [[0.500, 0.274, 0.314], [0.500, 0.726, 0.686], [0.000, 0.226, 0.814], [0.000, 0.774, 0.186], [0.500, 0.223, 0.647], [0.000, 0.277, 0.147], [0.000, 0.723, 0.853], [0.500, 0.777, 0.353], [0.500, 0.500, 0.500], [0.000, 0.000, 0.000], [0.000, 0.000, 0.500], [0.500, 0.500, 0.000]]
}

[11]
{
  "formula": "Tb6PmNd2Sm3",
  "functional": "PBE",
  "state": "relaxed",
  "ef_ev_per_atom": 0.012,
  "dft_energy_ev_per_atom": -4.673,
  "magmom_total_mub_per_atom": 0.0000,
  "lattice": [[-5.347, 2.900, 1.443], [2.557, -4.031, 4.037], [6.998, 9.130, 3.075]],
  "species": ["Nd", "Nd", "Sm", "Sm", "Sm", "Tb", "Tb", "Tb", "Tb", "Tb", "Tb", "Pm"],
  "frac_coords": [[0.667, 0.333, 0.000], [0.333, 0.667, 0.000], [0.500, 0.500, 0.500], [0.833, 0.167, 0.500], [0.167, 0.833, 0.500], [0.250, 0.250, 0.749], [0.916, 0.583, 0.749], [0.084, 0.417, 0.251], [0.750, 0.750, 0.251], [0.417, 0.084, 0.251], [0.583, 0.916, 0.749], [0.000, 0.000, 0.000]]
}

[12]
{
  "formula": "Tb3PmNdSm",
  "functional": "PBE",
  "state": "relaxed",
  "ef_ev_per_atom": 0.177,
  "dft_energy_ev_per_atom": -4.511,
  "magmom_total_mub_per_atom": 0.0000,
  "lattice": [[5.680, 0.000, 0.000], [-2.841, 9.934, 1.660], [0.000, -1.160, 6.925]],
  "species": ["Tb", "Tb", "Tb", "Tb", "Tb", "Tb", "Pm", "Pm", "Nd", "Nd", "Sm", "Sm"],
  "frac_coords": [[0.835, 0.669, 0.252], [0.477, 0.955, 0.251], [0.165, 0.331, 0.748], [0.220, 0.441, 0.249], [0.780, 0.559, 0.751], [0.523, 0.045, 0.749], [0.647, 0.295, 0.034], [0.353, 0.705, 0.966], [0.945, 0.889, 0.749], [0.055, 0.111, 0.251], [0.648, 0.296, 0.465], [0.352, 0.704, 0.535]]
}